Record 1
Tl2GaTeC PBE-GGA relaxed; symmetry = No. 123; V = 33.242 A^3/atom; energy = -2.85 eV per atom; E_form (uncorrected) = 1.18 eV per atom
1.0
6.3496 0.0000 0.0000
0.0000 4.1225 0.0000
0.0000 0.0000 6.3496
Te Tl C Ga
1 2 1 1
direct
0.0000 0.0000 0.0000
0.0000 0.0000 0.5000
0.5000 0.0000 0.0000
0.0000 0.5000 0.0000
0.5000 0.5000 0.5000


Record 2
Ga2TeWC PBE-GGA relaxed; symmetry = No. 123; V = 35.211 A^3/atom; energy = -3.60 eV per atom; E_form (uncorrected) = 2.67 eV per atom
1.0
-3.4027 4.6892 -0.7357
-4.1870 -3.0150 0.1487
-0.2946 0.6948 5.7913
C Ga Te W
1 2 1 1
direct
0.5000 0.5000 0.5000
0.5000 0.0000 0.0000
0.0000 0.0000 0.5000
0.0000 0.0000 0.0000
0.0000 0.5000 0.0000


Record 3
ZnGa2TeC PBE-GGA relaxed; symmetry = No. 123; V = 18.063 A^3/atom; energy = -3.49 eV per atom; E_form (uncorrected) = 0.45 eV per atom
1.0
-3.1887 1.7246 -3.0500
-2.0863 -3.4324 0.2403
-2.4987 1.7717 3.6141
C Zn Te Ga
1 1 1 2
direct
0.0000 0.0000 0.0000
0.0000 0.5000 0.0000
0.5000 0.5000 0.5000
0.5000 0.0000 0.0000
0.0000 0.0000 0.5000


Record 4
Th7Ga2C2 PBE-GGA relaxed; symmetry = No. 12; V = 30.456 A^3/atom; formation energy from the elements = 0.108 eV per atom; energy = -6.84 eV per atom
1.0
-6.1983 -1.4649 3.7716
0.2927 -6.2917 -3.0648
4.0758 0.2458 5.6914
Th Ga C
7 2 2
direct
0.7948 0.4829 0.0822
0.7948 0.0822 0.4829
0.2170 0.4058 0.4058
0.2052 0.5171 0.9178
0.7830 0.5942 0.5942
0.0000 0.0000 0.0000
0.2052 0.9178 0.5171
0.5000 0.7061 0.2939
0.5000 0.2939 0.7061
0.8871 0.2990 0.2990
0.1129 0.7010 0.7010


Record 5
Th8GaC6 PBE-GGA relaxed; symmetry = No. 148; V = 23.604 A^3/atom; formation energy from the elements = -0.036 eV per atom; energy = -7.88 eV per atom
1.0
7.0747 0.0597 0.0617
-0.1610 7.0731 0.0617
-0.1610 -0.1661 7.0714
Th C Ga
8 6 1
direct
0.8571 0.2857 0.6082
0.2857 0.6082 0.8571
0.1429 0.7143 0.3918
0.6082 0.8571 0.2857
0.3918 0.1429 0.7143
0.7321 0.7321 0.7321
0.2679 0.2679 0.2679
0.7143 0.3918 0.1429
0.4230 0.8160 0.6083
0.8160 0.6083 0.4230
0.5770 0.1840 0.3917
0.6083 0.4230 0.8160
0.3917 0.5770 0.1840
0.1840 0.3917 0.5770
0.0000 0.0000 0.0000


Record 6
Th8Ga2C3 PBE-GGA relaxed; symmetry = No. 12; V = 26.661 A^3/atom; formation energy from the elements = -0.180 eV per atom; energy = -7.34 eV per atom
1.0
-3.6336 -0.5527 5.4977
4.6167 -5.1880 2.5298
2.6391 7.7636 0.3080
Th C Ga
8 3 2
direct
0.9379 0.6054 0.2108
0.6160 0.6558 0.8080
0.1092 0.8960 0.7921
0.6160 0.1522 0.8080
0.3840 0.3442 0.1920
0.8908 0.1040 0.2079
0.3840 0.8478 0.1920
0.0621 0.3946 0.7892
0.0000 0.2370 0.0000
0.0000 0.7630 0.0000
0.5000 0.0000 0.0000
0.3276 0.2529 0.5059
0.6724 0.7471 0.4941


Record 7
Th4Ga2C PBE-GGA relaxed; symmetry = No. 139; V = 27.077 A^3/atom; formation energy from the elements = -0.222 eV per atom; energy = -6.64 eV per atom; relative energy among the computed polymorphs = 0.00 eV per formula unit
1.0
-3.7798 2.9757 -1.1997
-2.0582 -0.8268 4.4340
6.7469 4.9577 1.2846
Ga Th C
2 4 1
direct
0.3657 0.3657 0.7314
0.6343 0.6343 0.2686
0.5000 0.0000 0.0000
0.0000 0.5000 0.0000
0.8331 0.8331 0.6663
0.1669 0.1669 0.3337
0.0000 0.0000 0.0000


Record 8
Th4GaC2 PBE-GGA relaxed; symmetry = No. 63; V = 23.261 A^3/atom; formation energy from the elements = -0.311 eV per atom; energy = -7.62 eV per atom
1.0
-0.4751 -2.7405 2.6645
5.3783 -1.7105 -3.5843
7.7011 6.7624 8.3283
Th C Ga
8 4 2
direct
0.2319 0.4638 0.6084
0.0793 0.1587 0.2500
0.5000 0.0000 0.0000
0.9207 0.8413 0.7500
0.7681 0.5362 0.3916
0.7681 0.5362 0.1084
0.5000 0.0000 0.5000
0.2319 0.4638 0.8916
0.1395 0.2790 0.0603
0.8605 0.7210 0.9397
0.1395 0.2790 0.4397
0.8605 0.7210 0.5603
0.6010 0.2020 0.7500
0.3990 0.7980 0.2500


Record 9
Th5Ga2C PBE-GGA relaxed; symmetry = No. 63; V = 27.381 A^3/atom; formation energy from the elements = 0.032 eV per atom; energy = -6.52 eV per atom
1.0
-3.7104 -1.1334 4.6595
-2.9340 -0.3410 -6.3643
2.6199 -11.0975 -0.6131
Th Ga C
10 4 2
direct
0.6528 0.3057 0.5843
0.6528 0.3057 0.9157
0.6234 0.2468 0.2500
0.0770 0.1539 0.1042
0.0770 0.1539 0.3958
0.3472 0.6943 0.4157
0.9230 0.8461 0.6042
0.9230 0.8461 0.8958
0.3472 0.6943 0.0843
0.3766 0.7532 0.7500
0.8325 0.6649 0.1346
0.1675 0.3351 0.8654
0.8325 0.6649 0.3654
0.1675 0.3351 0.6346
0.2149 0.4299 0.2500
0.7851 0.5701 0.7500


Record 10
Th4Ga2C PBE-GGA relaxed; symmetry = No. 11; V = 26.811 A^3/atom; formation energy from the elements = -0.204 eV per atom; energy = -6.63 eV per atom; relative energy among the computed polymorphs = 0.13 eV per formula unit
1.0
6.6356 0.0000 -0.2943
0.0000 6.6102 0.0000
-2.7817 0.0000 8.6809
Th C Ga
8 2 4
direct
0.4896 0.5126 0.7325
0.5104 0.4874 0.2675
0.5104 0.0126 0.2675
0.9377 0.2500 0.6347
0.0623 0.7500 0.3653
0.0886 0.7500 0.9163
0.9114 0.2500 0.0837
0.4896 0.9874 0.7325
0.7485 0.2500 0.8117
0.2515 0.7500 0.1883
0.3086 0.2500 0.9561
0.6914 0.7500 0.0439
0.2333 0.2500 0.4322
0.7667 0.7500 0.5678


Record 11
Th5Ga2C2 PBE-GGA relaxed; symmetry = No. 12; V = 24.110 A^3/atom; formation energy from the elements = -0.235 eV per atom; energy = -7.08 eV per atom
1.0
5.2409 0.0000 0.0000
-2.6204 7.9974 0.3167
0.0000 -0.9171 5.1407
Th C Ga
5 2 2
direct
0.0000 0.0000 0.0000
0.3282 0.6564 0.0425
0.1631 0.3262 0.4773
0.8369 0.6738 0.5227
0.6718 0.3436 0.9575
0.8389 0.6779 0.0278
0.1611 0.3221 0.9722
0.4490 0.8980 0.6512
0.5510 0.1020 0.3488


Record 12
Th12Ga6C PBE-GGA relaxed; symmetry = No. 148; V = 27.813 A^3/atom; formation energy from the elements = -0.210 eV per atom; energy = -6.34 eV per atom
1.0
8.0852 0.3414 0.4090
-0.8883 8.0435 0.4090
-0.8883 -1.0349 7.9871
Th Ga C
12 6 1
direct
0.1888 0.4163 0.5316
0.0759 0.3046 0.9616
0.9241 0.6954 0.0384
0.6954 0.0384 0.9241
0.5316 0.1888 0.4163
0.9616 0.0759 0.3046
0.5837 0.4684 0.8112
0.4684 0.8112 0.5837
0.4163 0.5316 0.1888
0.0384 0.9241 0.6954
0.8112 0.5837 0.4684
0.3046 0.9616 0.0759
0.8494 0.2530 0.6430
0.1506 0.7470 0.3570
0.6430 0.8494 0.2530
0.2530 0.6430 0.8494
0.3570 0.1506 0.7470
0.7470 0.3570 0.1506
0.0000 0.0000 0.0000